First-principles (PBE) data for an optimized crystal structure of Tm2Cu3Ni4, as listed in the Alexandria database.

abc: 4.967 4.967 6.650
angles: 99.95 99.95 122.52
Atoms (fractional coordinates):
Tm 0.645 0.645 0.290
Tm 0.355 0.355 0.710
Cu 0.500 0.000 0.000
Cu 0.000 0.000 0.000
Cu 0.000 0.500 0.000
Ni 0.003 0.658 0.661
Ni 0.658 0.003 0.661
Ni 0.997 0.342 0.339
Ni 0.342 0.997 0.339

Properties
- Energy: -47.120 eV/cell